1.
The following is a PBE calculation of crystalline Pr2HoTl at its relaxed geometry, from Alexandria via LeMat-Bulk.

Computed properties:
* crystal system: tetragonal
* distance to the lowest polymorph of the same formula: 52 meV/atom

abc: 3.692 3.692 9.522
angles: 90.00 90.00 90.00
Space group P4/mmm (No. 123)
Inequivalent atoms, fractional coordinates:
Pr 0.000 0.000 0.232 x2
Ho 0.500 0.500 0.500 x1
Tl 0.500 0.500 0.000 x1

=====

2.
The following is a PBE calculation of crystalline B3WN at its relaxed geometry, from Alexandria via LeMat-Bulk.

Computed properties:
* crystal system: cubic
* distance to the lowest polymorph of the same formula: 0 meV/atom
* energy relative to the elements, uncorrected: 1447 meV per atom

abc: 3.473 3.473 3.473
angles: 90.00 90.00 90.00
Space group Pm-3m (No. 221)
Inequivalent atoms, fractional coordinates:
B 0.000 0.000 0.500 x3
W 0.500 0.500 0.500 x1
N 0.000 0.000 0.000 x1

=====

3.
The following is a PBE calculation of crystalline NdGa3Pd3 at its relaxed geometry, from Alexandria via LeMat-Bulk.

Computed properties:
* crystal system: cubic
* distance to the lowest polymorph of the same formula: 0 meV/atom

abc: 7.932 7.932 7.932
angles: 90.00 90.00 90.00
Space group P2_13 (No. 198)
Inequivalent atoms, fractional coordinates:
Nd 0.057 0.443 0.557 x4
Ga 0.017 0.309 0.921 x12
Pd 0.121 0.621 0.879 x4
Pd 0.178 0.178 0.178 x4
Pd 0.193 0.807 0.307 x4

=====

4.
The following is a PBE calculation of crystalline GdAl2Ga at its relaxed geometry, from Alexandria via LeMat-Bulk.

Computed properties:
* crystal system: trigonal

abc: 3.1696 3.1696 30.5312
angles: 90.00 90.00 120.00
Space group R-3m (No. 166, hexagonal axes)
Inequivalent atoms, fractional coordinates:
Gd 0.0000 0.0000 0.0000 x3
Al 0.0000 0.0000 0.0990 x6
Ga 0.0000 0.0000 0.5000 x3

=====

5.
The following is a PBE calculation of crystalline MnGaCl3 at its relaxed geometry, from Alexandria via LeMat-Bulk.

Computed properties:
* crystal system: trigonal
* energy relative to the elements, uncorrected: -857 meV per atom

abc: 6.8462 6.8462 19.7706
angles: 90.00 90.00 120.00
Space group R32 (No. 155, hexagonal axes)
Inequivalent atoms, fractional coordinates:
Mn 0.0000 0.0000 0.1648 x6
Ga 0.0000 0.0000 0.3542 x6
Cl 0.0053 0.4652 0.4186 x18

=====

6.
The following is a PBE calculation of crystalline Ba2SrTlAu at its relaxed geometry, from Alexandria via LeMat-Bulk.

Computed properties:
* crystal system: tetragonal

abc: 6.328 6.328 6.074
angles: 90.00 90.00 90.00
Space group P4/mmm (No. 123)
Inequivalent atoms, fractional coordinates:
Ba 0.000 0.500 0.000 x2
Sr 0.000 0.000 0.500 x1
Tl 0.500 0.500 0.500 x1
Au 0.000 0.000 0.000 x1

=====

Number 1: magnetic moment 0.00 Bohr magnetons per cell, calculated total energy -17.1 eV/cell. Number 2: magnetic moment 0.00 Bohr magnetons per cell, calculated total energy -34.1 eV/cell. Number 3: magnetic moment 0.00 Bohr magnetons per cell, calculated total energy -137.4 eV/cell. Number 4: magnetic moment 21.98 Bohr magnetons per cell, calculated total energy -70.8 eV/cell. Number 5: magnetic moment 30.00 Bohr magnetons per cell, calculated total energy -132.1 eV/cell. Number 6: magnetic moment 0.01 Bohr magnetons per cell, calculated total energy -12.6 eV/cell.